A relaxed DyVAs2O8 crystal, computed with GGA+U.

Output
Calculated total energy in eV per atom: -6.9537
Symmetry: I-4m2
Density in g/cm³: 5.37
D(E_F) in states/eV/atom: 0.00
Crystal system: tetragonal

Geometry as POSCAR:
```
DyVAs2O8
1.0
5.839 0.025 0.000
-2.568 5.245 0.000
-1.636 -2.635 4.948
O V As Dy
8 1 2 1
direct
0.310 0.489 0.179
0.760 0.071 0.689
0.929 0.618 0.689
0.310 0.131 0.821
0.929 0.240 0.311
0.511 0.690 0.821
0.382 0.071 0.311
0.869 0.690 0.179
0.000 0.000 0.000
0.750 0.250 0.500
0.500 0.500 0.000
0.250 0.750 0.500
```